# SiTc2Ru

Crystalline SiTc2Ru at its relaxed geometry (GGA-PBEsol, the Alexandria database). Values from VASP.

The structure in Quantum ESPRESSO input format:
```
&SYSTEM
  ibrav = 0, nat = 4, ntyp = 3
/
ATOMIC_SPECIES
Si 28.09 Si.upf
Tc 98.00 Tc.upf
Ru 101.07 Ru.upf
CELL_PARAMETERS angstrom
-0.384 0.898 -2.707
3.954 -1.361 -1.013
-3.365 -3.586 0.818
ATOMIC_POSITIONS angstrom
Si 1.194 -2.573 -1.023
Tc 0.272 -3.886 -2.857
Tc -0.982 -1.459 -1.874
Ru 1.710 -0.412 -1.909
```

## Properties
Energy relative to the elements, uncorrected, eV/atom: -0.29
D(E_F), states/eV/f.u.: 3.33